No. 1
# Pm4PrSm3

An optimized crystal structure of Pm4PrSm3 (GGA-PBE, the Alexandria database).

Geometry as CIF:
```
data_Pm4PrSm3
_chemical_formula_sum 'Pm8 Pr2 Sm6'
_cell_length_a 10.305
_cell_length_b 7.306
_cell_length_c 7.304
_cell_angle_alpha 90.00
_cell_angle_beta 90.00
_cell_angle_gamma 90.00
_space_group_name_H-M_alt 'P m n a'
_space_group_IT_number 53
_space_group_name_Hall '-P 2ac 2'
loop_
_atom_site_label
_atom_site_fract_x
_atom_site_fract_y
_atom_site_fract_z
Pm1 0.000 0.000 0.000
Pm2 0.000 0.500 0.500
Pm3 0.250 0.249 0.250
Pr1 0.000 0.500 0.000
Sm1 0.000 0.000 0.500
Sm2 0.250 0.249 0.750
```

energy relative to the elements: 0.014 eV/atom
DFT total energy: -4.728 eV/atom


No. 2
# Pm5Pr2Sm3

An optimized crystal structure of Pm5Pr2Sm3 (GGA-PBE, the Alexandria database).

Geometry as CIF:
```
data_Pm5Pr2Sm3
_chemical_formula_sum 'Pm20 Pr8 Sm12'
_cell_length_a 10.943
_cell_length_b 16.242
_cell_length_c 9.622
_cell_angle_alpha 90.00
_cell_angle_beta 124.64
_cell_angle_gamma 90.00
_space_group_name_H-M_alt 'C 1 2/c 1'
_space_group_IT_number 15
_space_group_name_Hall '-C 2yc'
loop_
_atom_site_label
_atom_site_fract_x
_atom_site_fract_y
_atom_site_fract_z
Pm1 0.000 0.029 0.250
Pm2 0.000 0.224 0.250
Pm3 0.000 0.270 0.750
Pm4 0.233 0.122 0.718
Pr1 0.141 0.373 0.549
Sm1 0.000 0.478 0.750
Sm2 0.157 0.122 0.046
```

energy relative to the elements: 0.179 eV/atom
DFT total energy: -4.568 eV/atom


No. 3
# Pm3Pr3Sm4

An optimized crystal structure of Pm3Pr3Sm4 (GGA-PBE, the Alexandria database).

Geometry as CIF:
```
data_Pm3Pr3Sm4
_chemical_formula_sum 'Pm6 Pr6 Sm8'
_cell_length_a 3.781
_cell_length_b 13.675
_cell_length_c 13.695
_cell_angle_alpha 90.00
_cell_angle_beta 90.00
_cell_angle_gamma 90.00
_space_group_name_H-M_alt 'A m m 2'
_space_group_IT_number 38
_space_group_name_Hall 'A 2 -2'
loop_
_atom_site_label
_atom_site_fract_x
_atom_site_fract_y
_atom_site_fract_z
Pm1 0.000 0.000 0.000
Pm2 0.500 0.249 0.076
Pr1 0.000 0.000 0.654
Pr2 0.000 0.173 0.326
Sm1 0.500 0.000 0.199
Sm2 0.500 0.000 0.453
Sm3 0.500 0.126 0.828
```

energy relative to the elements: 0.102 eV/atom
DFT total energy: -4.644 eV/atom


No. 4
# Pm6PrSm3

An optimized crystal structure of Pm6PrSm3 (GGA-PBE, the Alexandria database).

Geometry as CIF:
```
data_Pm6PrSm3
_chemical_formula_sum 'Pm24 Pr4 Sm12'
_cell_length_a 11.053
_cell_length_b 19.357
_cell_length_c 6.442
_cell_angle_alpha 90.00
_cell_angle_beta 90.00
_cell_angle_gamma 90.00
_space_group_name_H-M_alt 'C m c 21'
_space_group_IT_number 36
_space_group_name_Hall 'C 2c -2'
loop_
_atom_site_label
_atom_site_fract_x
_atom_site_fract_y
_atom_site_fract_z
Pm1 0.000 0.035 0.000
Pm2 0.000 0.281 0.214
Pm3 0.169 0.459 0.307
Pm4 0.236 0.292 0.486
Pr1 0.000 0.191 0.754
Sm1 0.000 0.384 0.772
Sm2 0.175 0.117 0.399
```

energy relative to the elements: 0.138 eV/atom
DFT total energy: -4.606 eV/atom


No. 5
# Pm2PrSm6

An optimized crystal structure of Pm2PrSm6 (GGA-PBE, the Alexandria database).

Geometry as CIF:
```
data_Pm2PrSm6
_chemical_formula_sum 'Pm2 Pr1 Sm6'
_cell_length_a 7.6310
_cell_length_b 7.6310
_cell_length_c 6.1996
_cell_angle_alpha 90.00
_cell_angle_beta 90.00
_cell_angle_gamma 120.00
_space_group_name_H-M_alt 'P -3 m 1'
_space_group_IT_number 164
_space_group_name_Hall '-P 3 2"'
loop_
_atom_site_label
_atom_site_fract_x
_atom_site_fract_y
_atom_site_fract_z
Pm1 0.3333 0.6667 0.2152
Pr1 0.0000 0.0000 0.0000
Sm1 0.1876 0.3751 0.7079
```

energy relative to the elements: 0.205 eV/atom
DFT total energy: -4.528 eV/atom


No. 6
# Pm6PrSm4

An optimized crystal structure of Pm6PrSm4 (GGA-PBE, the Alexandria database).

Geometry as CIF:
```
data_Pm6PrSm4
_chemical_formula_sum 'Pm12 Pr2 Sm8'
_cell_length_a 6.647
_cell_length_b 6.647
_cell_length_c 17.612
_cell_angle_alpha 90.00
_cell_angle_beta 90.00
_cell_angle_gamma 90.00
_space_group_name_H-M_alt 'I -4 2 m'
_space_group_IT_number 121
_space_group_name_Hall 'I -4 2'
loop_
_atom_site_label
_atom_site_fract_x
_atom_site_fract_y
_atom_site_fract_z
Pm1 0.000 0.500 0.000
Pm2 0.179 0.179 0.370
Pr1 0.000 0.000 0.000
Sm1 0.189 0.189 0.179
```

energy relative to the elements: 0.293 eV/atom
DFT total energy: -4.449 eV/atom


No. 7
# PmPr7Sm4

An optimized crystal structure of PmPr7Sm4 (GGA-PBE, the Alexandria database).

Geometry as CIF:
```
data_PmPr7Sm4
_chemical_formula_sum 'Pm2 Pr14 Sm8'
_cell_length_a 16.441
_cell_length_b 6.127
_cell_length_c 9.529
_cell_angle_alpha 90.00
_cell_angle_beta 116.06
_cell_angle_gamma 90.00
_space_group_name_H-M_alt 'C 1 2/m 1'
_space_group_IT_number 12
_space_group_name_Hall '-C 2y'
loop_
_atom_site_label
_atom_site_fract_x
_atom_site_fract_y
_atom_site_fract_z
Pm1 0.000 0.000 0.000
Pr1 0.000 0.500 0.000
Pr2 0.083 0.000 0.442
Pr3 0.209 0.000 0.228
Pr4 0.211 0.000 0.878
Sm1 0.073 0.500 0.698
Sm2 0.172 0.500 0.389
```

energy relative to the elements: 0.197 eV/atom
DFT total energy: -4.560 eV/atom


No. 8
# Pm2Pr9Sm3

An optimized crystal structure of Pm2Pr9Sm3 (GGA-PBE, the Alexandria database).

Geometry as CIF:
```
data_Pm2Pr9Sm3
_chemical_formula_sum 'Pm4 Pr18 Sm6'
_cell_length_a 9.2656
_cell_length_b 9.2656
_cell_length_c 13.9536
_cell_angle_alpha 90.00
_cell_angle_beta 90.00
_cell_angle_gamma 120.00
_space_group_name_H-M_alt 'P 63/m'
_space_group_IT_number 176
_space_group_name_Hall '-P 6c'
loop_
_atom_site_label
_atom_site_fract_x
_atom_site_fract_y
_atom_site_fract_z
Pm1 0.3333 0.6667 0.1411
Pr1 0.0803 0.4802 0.7500
Pr2 0.1297 0.7241 0.5400
Sm1 0.0802 0.2493 0.2500
```

energy relative to the elements: 0.223 eV/atom
DFT total energy: -4.539 eV/atom


No. 9
# Pm2Pr5Sm5

An optimized crystal structure of Pm2Pr5Sm5 (GGA-PBE, the Alexandria database).

Geometry as CIF:
```
data_Pm2Pr5Sm5
_chemical_formula_sum 'Pm4 Pr10 Sm10'
_cell_length_a 15.569
_cell_length_b 5.185
_cell_length_c 11.615
_cell_angle_alpha 90.00
_cell_angle_beta 116.55
_cell_angle_gamma 90.00
_space_group_name_H-M_alt 'C 1 2/m 1'
_space_group_IT_number 12
_space_group_name_Hall '-C 2y'
loop_
_atom_site_label
_atom_site_fract_x
_atom_site_fract_y
_atom_site_fract_z
Pm1 0.083 0.000 0.251
Pr1 0.000 0.000 0.500
Pr2 0.165 0.000 0.999
Pr3 0.250 0.000 0.749
Sm1 0.000 0.500 0.000
Sm2 0.082 0.500 0.749
Sm3 0.167 0.500 0.500
```

energy relative to the elements: 0.014 eV/atom
DFT total energy: -4.735 eV/atom


No. 10
# Pm7Pr2Sm3

An optimized crystal structure of Pm7Pr2Sm3 (GGA-PBE, the Alexandria database).

Geometry as CIF:
```
data_Pm7Pr2Sm3
_chemical_formula_sum 'Pm7 Pr2 Sm3'
_cell_length_a 6.502
_cell_length_b 3.598
_cell_length_c 17.920
_cell_angle_alpha 90.00
_cell_angle_beta 96.15
_cell_angle_gamma 90.00
_space_group_name_H-M_alt 'P 1 2/m 1'
_space_group_IT_number 10
_space_group_name_Hall '-P 2y'
loop_
_atom_site_label
_atom_site_fract_x
_atom_site_fract_y
_atom_site_fract_z
Pm1 0.000 0.000 0.000
Pm2 0.226 0.500 0.167
Pm3 0.257 0.500 0.498
Pm4 0.275 0.000 0.835
Pr1 0.058 0.500 0.671
Sm1 0.452 0.000 0.340
Sm2 0.500 0.500 0.000
```

energy relative to the elements: 0.069 eV/atom
DFT total energy: -4.678 eV/atom


No. 11
# PmPr8Sm2

An optimized crystal structure of PmPr8Sm2 (GGA-PBE, the Alexandria database).

Geometry as CIF:
```
data_PmPr8Sm2
_chemical_formula_sum 'Pm2 Pr16 Sm4'
_cell_length_a 17.149
_cell_length_b 6.898
_cell_length_c 6.826
_cell_angle_alpha 90.00
_cell_angle_beta 100.31
_cell_angle_gamma 90.00
_space_group_name_H-M_alt 'C 1 2/m 1'
_space_group_IT_number 12
_space_group_name_Hall '-C 2y'
loop_
_atom_site_label
_atom_site_fract_x
_atom_site_fract_y
_atom_site_fract_z
Pm1 0.000 0.000 0.000
Pr1 0.087 0.262 0.408
Pr2 0.093 0.500 0.915
Pr3 0.244 0.000 0.319
Sm1 0.198 0.000 0.809
```

energy relative to the elements: 0.152 eV/atom
DFT total energy: -4.613 eV/atom


No. 12
# Pm5Pr4Sm4

An optimized crystal structure of Pm5Pr4Sm4 (GGA-PBE, the Alexandria database).

Geometry as CIF:
```
data_Pm5Pr4Sm4
_chemical_formula_sum 'Pm10 Pr8 Sm8'
_cell_length_a 13.247
_cell_length_b 13.247
_cell_length_c 5.160
_cell_angle_alpha 90.00
_cell_angle_beta 90.00
_cell_angle_gamma 90.00
_space_group_name_H-M_alt 'I 4/m'
_space_group_IT_number 87
_space_group_name_Hall '-I 4'
loop_
_atom_site_label
_atom_site_fract_x
_atom_site_fract_y
_atom_site_fract_z
Pm1 0.000 0.000 0.000
Pm2 0.039 0.191 0.500
Pr1 0.078 0.383 0.000
Sm1 0.154 0.770 0.000
```

energy relative to the elements: 0.013 eV/atom
DFT total energy: -4.737 eV/atom


Ordered density of states at the Fermi level results: 1.5583, 1.7917, 1.0989, 1.3993, 1.6867, 1.6898, 1.6348, 1.3552, 1.5869, 1.5456, 1.6889, 1.5112; unit states/eV/atom.